[1]
BaCdPt after structural relaxation, computed with GGA-PBE.

Structure (CIF):
```
data_BaCdPt
_chemical_formula_sum 'Ba6 Cd6 Pt6'
_cell_length_a 7.9030
_cell_length_b 4.5972
_cell_length_c 13.5285
_cell_angle_alpha 90.00
_cell_angle_beta 90.33
_cell_angle_gamma 90.00
_symmetry_space_group_name_H-M 'P 1 21/m 1'
_symmetry_Int_Tables_number 11
_symmetry_space_group_name_Hall '-P 2yb'
loop_
_atom_site_label
_atom_site_type_symbol
_atom_site_fract_x
_atom_site_fract_y
_atom_site_fract_z
Ba1 Ba 0.0271 0.2500 0.2898
Ba2 Ba 0.3460 0.7500 0.9205
Ba3 Ba 0.4729 0.7500 0.6229
Cd1 Cd 0.0049 0.2500 0.9159
Cd2 Cd 0.1430 0.2500 0.5414
Cd3 Cd 0.3550 0.7500 0.2028
Pt1 Pt 0.2259 0.2500 0.0892
Pt2 Pt 0.2268 0.7500 0.4220
Pt3 Pt 0.2697 0.2500 0.7545
```

## Properties
Energy ... -3.578 eV per atom
Formation energy from the elements ... -618.6 meV/atom

[2]
Cs2BaPmF6 after structural relaxation, computed with GGA-PBE.

Structure (CIF):
```
data_Cs2BaPmF6
_chemical_formula_sum 'Cs2 Ba1 Pm1 F6'
_cell_length_a 6.7889
_cell_length_b 6.7944
_cell_length_c 7.3851
_cell_angle_alpha 62.75
_cell_angle_beta 62.70
_cell_angle_gamma 60.08
_symmetry_space_group_name_H-M 'P -1'
_symmetry_Int_Tables_number 2
_symmetry_space_group_name_Hall '-P 1'
loop_
_atom_site_label
_atom_site_type_symbol
_atom_site_fract_x
_atom_site_fract_y
_atom_site_fract_z
Cs1 Cs 0.2293 0.2300 0.3118
Ba1 Ba 0.0000 0.0000 0.0000
Pm1 Pm 0.5000 0.5000 0.5000
F1 F 0.2287 0.7291 0.3090
F2 F 0.2678 0.2701 0.6910
F3 F 0.2696 0.7719 0.6905
```

## Properties
Energy relative to the elements, uncorrected ... -3242 meV per atom
Energy ... -5.202 eV per atom

Result set for spin magnetization: 0.000, 0.000 μB/cell, one per record in the order listed.